Computed, not measured: a relaxed structure of AlRhPb2 at the PBE-GGA level of DFT.

Lattice parameters (Å, degrees): 3.275 3.275 8.482 90.00 90.00 90.00
Sites, in units of the cell vectors:
Al (0.000, 0.000, 0.000)
Rh (0.500, 0.500, 0.885)
Pb (0.000, 0.000, 0.636)
Pb (0.500, 0.500, 0.269)

spin magnetization = 0.000 μB per atom
uncorrected energy = -0.357 Ry/atom
space group = P4mm